[1]
Crystalline UBe4W at its relaxed geometry, computed with GGA-PBE.

Computed properties:
As for the energy: -6.284 eV per atom. The calculation puts the total magnetization at 0.6 μB per cell. For the formation energy, the calculation gives 0.240 eV/atom.

Cell and atoms, written as POSCAR:
```
UBe4W
1.0
4.734 0.000 0.000
2.367 4.100 0.000
2.367 1.367 3.865
U Be W
1 4 1
Direct
0.250 0.250 0.250
0.625 0.625 0.625
0.625 0.124 0.625
0.124 0.625 0.625
0.625 0.625 0.124
0.000 0.000 0.000
```

=====

[2]
Crystalline ZrUBe at its relaxed geometry, computed with GGA-PBE.

Computed properties:
As for the energy: -7.764 eV per atom. The calculation puts the total magnetization at 2.7 μB per cell. For the formation energy, the calculation gives 0.090 eV/atom.

Cell and atoms, written as POSCAR:
```
ZrUBe
1.0
4.512 0.000 0.000
2.256 4.723 0.000
2.256 0.000 5.160
Zr U Be
2 2 2
Direct
0.652 0.000 0.697
0.348 0.000 0.303
0.173 0.653 0.000
0.827 0.347 0.000
0.250 0.500 0.500
0.750 0.500 0.500
```

=====

[3]
Crystalline Zr2UBe at its relaxed geometry, computed with GGA-PBE.

Computed properties:
As for the energy: -7.585 eV per atom. The calculation puts the total magnetization at 1.7 μB per cell. The value obtained for the offset from the most stable computed form is 299 meV/atom. For the formation energy, the calculation gives 0.442 eV/atom.

Cell and atoms, written as POSCAR:
```
Zr2UBe
1.0
3.059 0.000 0.000
1.530 2.650 0.000
1.530 0.883 10.047
Be Zr U
1 2 1
Direct
0.500 0.500 0.500
0.898 0.898 0.307
0.102 0.102 0.693
0.000 0.000 0.000
```

=====

[4]
Crystalline Zr2UBe at its relaxed geometry, computed with GGA-PBE.

Computed properties:
As for the energy: -7.885 eV per atom. The calculation puts the total magnetization at 2.2 μB per cell. The value obtained for the offset from the most stable computed form is 0 meV/atom. For the formation energy, the calculation gives 0.143 eV/atom.

Cell and atoms, written as POSCAR:
```
Zr2UBe
1.0
3.046 0.000 0.000
0.000 3.046 0.000
0.000 0.000 8.401
Zr Be U
2 1 1
Direct
0.000 0.000 0.797
0.000 0.000 0.203
0.500 0.500 0.000
0.500 0.500 0.500
```

=====

[5]
Crystalline Be2V at its relaxed geometry, computed with GGA-PBE.

Computed properties:
As for the energy: -5.578 eV per atom. The calculation puts the total magnetization at 0.0 μB per cell. For the formation energy, the calculation gives -0.054 eV/atom.

Cell and atoms, written as POSCAR:
```
Be2V
1.0
2.243 0.000 0.009
0.000 11.931 0.000
-0.803 0.000 4.413
Be V
8 4
Direct
0.304 0.000 0.722
0.696 0.500 0.778
0.000 0.870 0.000
0.000 0.130 0.000
0.000 0.630 0.500
0.304 0.500 0.222
0.696 0.000 0.278
0.000 0.370 0.500
0.500 0.318 0.000
0.500 0.182 0.500
0.500 0.682 0.000
0.500 0.818 0.500
```

=====

[6]
Crystalline BeV at its relaxed geometry, computed with GGA-PBE.

Computed properties:
As for the energy: -6.387 eV per atom. The calculation puts the total magnetization at 0.0 μB per cell. For the formation energy, the calculation gives 0.035 eV/atom.

Cell and atoms, written as POSCAR:
```
BeV
1.0
10.307 0.000 0.000
0.000 3.682 0.000
0.000 0.000 4.602
Be V
8 8
Direct
0.981 0.750 0.108
0.629 0.750 0.704
0.481 0.750 0.392
0.129 0.750 0.796
0.019 0.250 0.892
0.371 0.250 0.296
0.519 0.250 0.608
0.871 0.250 0.204
0.082 0.250 0.412
0.767 0.250 0.684
0.233 0.750 0.316
0.418 0.750 0.912
0.582 0.250 0.088
0.733 0.750 0.184
0.918 0.750 0.588
0.267 0.250 0.816
```

=====

[7]
Crystalline Be3V at its relaxed geometry, computed with GGA-PBE.

Computed properties:
As for the energy: -4.943 eV per atom. The calculation puts the total magnetization at 0.1 μB per cell. For the formation energy, the calculation gives 0.131 eV/atom.

Cell and atoms, written as POSCAR:
```
Be3V
1.0
-0.738 -1.694 -1.308
2.341 0.902 -2.489
3.266 -2.966 1.998
Be V
3 1
Direct
0.500 0.500 0.822
0.500 0.000 0.568
0.000 0.000 0.960
0.000 0.500 0.317
```

=====

[8]
Crystalline BeV at its relaxed geometry, computed with GGA-PBE.

Computed properties:
As for the energy: -6.502 eV per atom. The calculation puts the total magnetization at 0.0 μB per cell. For the formation energy, the calculation gives -0.080 eV/atom.

Cell and atoms, written as POSCAR:
```
BeV
1.0
-2.507 0.090 -0.031
-0.014 -1.160 -2.225
-0.129 -3.049 1.590
Be V
1 1
Direct
0.000 0.000 0.000
0.500 0.500 0.500
```

=====

[9]
Crystalline Be2V at its relaxed geometry, computed with GGA-PBE.

Computed properties:
As for the energy: -5.753 eV per atom. The calculation puts the total magnetization at 0.0 μB per cell. For the formation energy, the calculation gives -0.230 eV/atom.

Cell and atoms, written as POSCAR:
```
Be2V
1.0
4.357 0.000 0.000
-2.179 3.774 0.000
0.000 0.000 14.118
Be V
16 8
Direct
0.333 0.667 0.873
0.838 0.676 0.250
0.500 0.500 0.000
0.000 0.500 0.000
0.667 0.333 0.373
0.324 0.162 0.250
0.500 0.000 0.000
0.500 0.500 0.500
0.838 0.162 0.250
0.000 0.500 0.500
0.500 0.000 0.500
0.162 0.324 0.750
0.162 0.838 0.750
0.667 0.333 0.127
0.333 0.667 0.627
0.676 0.838 0.750
0.333 0.667 0.343
0.000 0.000 0.091
0.667 0.333 0.843
0.667 0.333 0.657
0.000 0.000 0.591
0.333 0.667 0.157
0.000 0.000 0.909
0.000 0.000 0.409
```

=====

[10]
Crystalline Be17V2 at its relaxed geometry, computed with GGA-PBE.

Computed properties:
As for the energy: -4.429 eV per atom. The calculation puts the total magnetization at 0.0 μB per cell. For the formation energy, the calculation gives -0.135 eV/atom.

Cell and atoms, written as POSCAR:
```
Be17V2
1.0
5.465 -0.046 -0.040
0.730 5.416 -0.040
0.730 0.633 5.379
Be V
17 2
Direct
0.101 0.101 0.101
0.698 0.302 0.000
0.838 0.349 0.349
0.000 0.302 0.698
0.162 0.651 0.651
0.349 0.838 0.349
0.000 0.500 0.000
0.302 0.000 0.698
0.000 0.000 0.500
0.651 0.162 0.651
0.500 0.000 0.000
0.349 0.349 0.838
0.302 0.698 0.000
0.698 0.000 0.302
0.000 0.698 0.302
0.651 0.651 0.162
0.899 0.899 0.899
0.338 0.338 0.338
0.662 0.662 0.662
```

=====

[11]
Crystalline Be2V at its relaxed geometry, computed with GGA-PBE.

Computed properties:
As for the energy: -5.618 eV per atom. The calculation puts the total magnetization at 0.0 μB per cell. For the formation energy, the calculation gives -0.094 eV/atom.

Cell and atoms, written as POSCAR:
```
Be2V
1.0
3.253 0.000 0.000
0.000 8.272 0.000
0.000 0.000 4.362
Be V
8 4
Direct
0.500 0.500 0.500
0.500 0.500 0.000
0.500 0.080 0.250
0.000 0.000 0.500
0.000 0.420 0.750
0.500 0.920 0.750
0.000 0.580 0.250
0.000 0.000 0.000
0.500 0.212 0.750
0.000 0.288 0.250
0.500 0.788 0.250
0.000 0.712 0.750
```

=====

[12]
Crystalline Be4V at its relaxed geometry, computed with GGA-PBE.

Computed properties:
As for the energy: -3.054 eV per atom. The calculation puts the total magnetization at 0.0 μB per cell. For the formation energy, the calculation gives 1.750 eV/atom.

Cell and atoms, written as POSCAR:
```
Be4V
1.0
4.165 0.000 0.000
0.000 4.165 0.000
0.000 0.000 4.165
V Be
1 4
Direct
0.500 0.500 0.500
0.000 0.000 0.000
0.000 0.500 0.500
0.500 0.500 0.000
0.500 0.000 0.500
```

=====

[13]
Crystalline BeV at its relaxed geometry, computed with GGA-PBE.

Computed properties:
As for the energy: -5.187 eV per atom. The calculation puts the total magnetization at 1.9 μB per cell. For the formation energy, the calculation gives 1.235 eV/atom.

Cell and atoms, written as POSCAR:
```
BeV
1.0
-1.793 3.155 -1.422
-1.556 -3.533 -0.534
-2.292 0.429 3.841
V Be
2 2
Direct
0.333 0.667 0.750
0.667 0.333 0.250
0.667 0.333 0.750
0.333 0.667 0.250
```

=====

[14]
Crystalline Be2V at its relaxed geometry, computed with GGA-PBE.

Computed properties:
As for the energy: -5.624 eV per atom. The calculation puts the total magnetization at 0.0 μB per cell. For the formation energy, the calculation gives -0.101 eV/atom.

Cell and atoms, written as POSCAR:
```
Be2V
1.0
2.529 0.000 0.000
0.000 2.529 0.000
-1.265 -1.265 4.576
V Be
1 2
Direct
0.000 0.000 0.000
0.314 0.314 0.628
0.686 0.686 0.372
```

=====

[15]
Crystalline BeV3 at its relaxed geometry, computed with GGA-PBE.

Computed properties:
As for the energy: -7.703 eV per atom. The calculation puts the total magnetization at 0.0 μB per cell. The value obtained for the offset from the most stable computed form is 72 meV/atom. For the formation energy, the calculation gives 0.067 eV/atom.

Cell and atoms, written as POSCAR:
```
BeV3
1.0
3.647 0.000 0.000
0.000 3.647 0.000
-1.824 -1.824 3.713
V Be
3 1
Direct
0.250 0.750 0.500
0.500 0.500 0.000
0.750 0.250 0.500
0.000 0.000 0.000
```

=====

[16]
Crystalline Be3V at its relaxed geometry, computed with GGA-PBE.

Computed properties:
As for the energy: -4.989 eV per atom. The calculation puts the total magnetization at 0.6 μB per cell. For the formation energy, the calculation gives 0.085 eV/atom.

Cell and atoms, written as POSCAR:
```
Be3V
1.0
3.714 0.000 0.000
0.000 3.714 0.000
-1.857 -1.857 2.736
Be V
3 1
Direct
0.250 0.750 0.500
0.750 0.250 0.500
0.500 0.500 0.000
0.000 0.000 0.000
```

=====

[17]
Crystalline Be6V at its relaxed geometry, computed with GGA-PBE.

Computed properties:
As for the energy: -4.580 eV per atom. The calculation puts the total magnetization at 4.3 μB per cell. For the formation energy, the calculation gives -0.083 eV/atom.

Cell and atoms, written as POSCAR:
```
Be6V
1.0
-1.888 -2.508 2.745
5.601 0.020 3.871
-2.961 6.881 4.250
V Be
4 24
Direct
0.750 0.739 0.566
0.750 0.239 0.934
0.250 0.761 0.066
0.250 0.261 0.434
0.250 0.411 0.981
0.750 0.698 0.245
0.750 0.089 0.481
0.750 0.947 0.095
0.750 0.198 0.255
0.250 0.553 0.595
0.993 0.560 0.809
0.250 0.802 0.745
0.507 0.060 0.691
0.993 0.060 0.691
0.493 0.940 0.309
0.007 0.940 0.309
0.507 0.560 0.809
0.750 0.447 0.405
0.750 0.589 0.019
0.250 0.148 0.146
0.250 0.302 0.755
0.250 0.911 0.519
0.007 0.440 0.191
0.250 0.053 0.905
0.750 0.352 0.646
0.750 0.852 0.854
0.250 0.648 0.354
0.493 0.440 0.191
```

=====

[18]
Crystalline BeV at its relaxed geometry, computed with GGA-PBE.

Computed properties:
As for the energy: -6.141 eV per atom. The calculation puts the total magnetization at 0.0 μB per cell. For the formation energy, the calculation gives 0.281 eV/atom.

Cell and atoms, written as POSCAR:
```
BeV
1.0
6.417 0.000 0.000
0.000 6.417 0.000
0.000 0.000 4.427
V Be
8 8
Direct
0.195 0.446 0.500
0.305 0.054 0.000
0.946 0.305 0.000
0.054 0.695 0.000
0.805 0.554 0.500
0.695 0.946 0.000
0.554 0.195 0.500
0.446 0.805 0.500
0.593 0.298 0.000
0.702 0.593 0.000
0.798 0.907 0.500
0.907 0.202 0.500
0.202 0.093 0.500
0.407 0.702 0.000
0.093 0.798 0.500
0.298 0.407 0.000
```

=====

[19]
Crystalline Be3V at its relaxed geometry, computed with GGA-PBE.

Computed properties:
As for the energy: -5.180 eV per atom. The calculation puts the total magnetization at 0.0 μB per cell. For the formation energy, the calculation gives -0.106 eV/atom.

Cell and atoms, written as POSCAR:
```
Be3V
1.0
-1.131 2.712 -2.152
2.655 -1.793 -3.655
-4.603 -1.446 0.598
Be V
6 2
Direct
0.250 0.309 0.155
0.250 0.846 0.691
0.750 0.691 0.845
0.750 0.154 0.309
0.250 0.845 0.155
0.750 0.155 0.845
0.250 0.333 0.667
0.750 0.667 0.333
```

=====

[20]
Crystalline BeV8 at its relaxed geometry, computed with GGA-PBE.

Computed properties:
As for the energy: -8.515 eV per atom. The calculation puts the total magnetization at 0.0 μB per cell. For the formation energy, the calculation gives 0.004 eV/atom.

Cell and atoms, written as POSCAR:
```
BeV8
1.0
3.084 0.000 0.000
1.542 6.128 0.000
1.542 0.000 6.128
V Be
8 1
Direct
0.000 0.673 0.327
0.660 0.000 0.679
0.673 0.327 0.327
0.340 0.321 0.000
0.340 0.000 0.321
0.327 0.673 0.673
0.660 0.679 0.000
0.000 0.327 0.673
0.000 0.000 0.000
```